1.
{"formula": "DyPd2Au2", "functional": "PBE", "state": "relaxed", "e_form_ev_per_atom": -0.581, "polymorph_energy_mev_per_atom": 0, "lattice": [[4.5558, -0.0013, 2.0704], [-0.3819, 5.0447, 0.8423], [0.6789, 0.7868, 4.5548]], "species": ["Pd", "Pd", "Au", "Au", "Dy"], "frac_coords": [[0.2075, 0.6140, 0.5849], [0.7924, 0.3860, 0.4151], [0.4038, 0.2162, 0.1924], [0.5962, 0.7838, 0.8076], [0.0000, 0.0000, 0.0000]]}

2.
{"formula": "TiBSb2Te", "functional": "PBE", "state": "relaxed", "e_form_raw_mev_per_atom": 762, "polymorph_energy_mev_per_atom": 0, "lattice": [[4.7994, 0.0000, 0.0000], [0.0000, 4.7994, 0.0000], [0.0000, 0.0000, 4.7837]], "species": ["Sb", "Sb", "B", "Te", "Ti"], "frac_coords": [[0.5000, 0.0000, 0.0000], [0.0000, 0.5000, 0.0000], [0.0000, 0.0000, 0.0000], [0.0000, 0.0000, 0.5000], [0.5000, 0.5000, 0.5000]]}

3.
{"formula": "YTm6Ni2", "functional": "PBE", "state": "relaxed", "e_form_ev_per_atom": -0.139, "lattice": [[-5.3129, 6.0138, -2.6315], [-4.6117, -5.7126, 4.1732], [6.0001, 2.4974, 5.3925]], "species": ["Ni", "Ni", "Ni", "Ni", "Tm", "Tm", "Tm", "Tm", "Tm", "Tm", "Tm", "Tm", "Tm", "Tm", "Tm", "Tm", "Y", "Y"], "frac_coords": [[0.3706, 0.3706, 0.0000], [0.5000, 0.1192, 0.6192], [0.5000, 0.8808, 0.3808], [0.6294, 0.6294, 0.0000], [0.3015, 0.3082, 0.6096], [0.8905, 0.1925, 0.6981], [0.6985, 0.6918, 0.3904], [0.1095, 0.8075, 0.3019], [0.7785, 0.5540, 0.7755], [0.6985, 0.3082, 0.0067], [0.7785, 0.0029, 0.2245], [0.2215, 0.9971, 0.7755], [0.3015, 0.6918, 0.9933], [0.5056, 0.8075, 0.6981], [0.2215, 0.4460, 0.2245], [0.4944, 0.1925, 0.3019], [0.0000, 0.0000, 0.0000], [0.0000, 0.5000, 0.5000]]}

Number 1: calculated total energy -4.889 eV/atom. Number 2: calculated total energy -4.430 eV/atom. Number 3: calculated total energy -5.123 eV/atom.